A relaxed Na6PaI12 crystal, computed with PBE.

Output
Magnetic moment   0.0 μB per formula unit
Total energy   -2.9074 eV per atom
Mass density   3.8 g/cm3
Space group   R-3 (148)

Cell: 9.479 9.479 9.479 Å, 97.32 97.32 97.32°
Fractional positions:
Na (0.610, 0.837, 0.381)
Na (0.619, 0.390, 0.163)
Na (0.163, 0.619, 0.390)
Na (0.390, 0.163, 0.619)
Na (0.381, 0.610, 0.837)
Na (0.837, 0.381, 0.610)
Pa (0.000, 0.000, 0.000)
I (0.830, 0.616, 0.400)
I (0.400, 0.830, 0.616)
I (0.616, 0.400, 0.830)
I (0.170, 0.384, 0.600)
I (0.600, 0.170, 0.384)
I (0.384, 0.600, 0.170)
I (0.086, 0.974, 0.305)
I (0.026, 0.695, 0.914)
I (0.695, 0.914, 0.026)
I (0.914, 0.026, 0.695)
I (0.974, 0.305, 0.086)
I (0.305, 0.086, 0.974)